A plane-wave DFT calculation with PBE-GGA was carried out for a relaxed structure of BeSb2Ru.

Structure (POSCAR):
```
BeSb2Ru
1.0
-2.866 2.866 5.946
2.866 -2.866 5.946
2.866 2.866 -5.946
Be Sb Ru
2 4 2
Direct
0.000 0.000 0.000
0.750 0.250 0.500
0.110 0.625 0.985
0.375 0.360 0.485
0.640 0.125 0.015
0.875 0.890 0.515
0.250 0.750 0.500
0.500 0.500 0.000
```

## Properties
DFT total energy (eV per atom): -4.8937
DOS(E_F) (states/eV per cell): 4.2